Computed, not measured: CrTeO6 after structural relaxation at the PBE+U level of DFT.

Total magnetization   0.0 μB per formula unit
Fermi-level density of states   7.45 states/eV/cell
Uncorrected energy   -91.90 eV per cell

abc: 8.666 5.366 5.003
angles: 90.00 124.80 90.00
Space group C2/m (No. 12)
One atom of each set of equivalent atoms:
Cr (0.000, 0.000, 0.000)
Te (0.000, 0.500, 0.500)
O (0.073, 0.245, 0.828)
O (0.250, 0.000, 0.402)